Below is TbDy2Er after structural relaxation, with properties calculated at the GGA-PBE level.

```
data_TbDy2Er
_cell_length_a 11.684
_cell_length_b 11.684
_cell_length_c 11.684
_cell_angle_alpha 17.38
_cell_angle_beta 17.38
_cell_angle_gamma 17.38
_symmetry_space_group_name_H-M 'P 1'
_symmetry_Int_Tables_number 1
_symmetry_space_group_name_Hall 'P 1'
loop_
_atom_site_label
_atom_site_fract_x
_atom_site_fract_y
_atom_site_fract_z
_atom_site_occupancy
Tb1 0.000 0.000 0.000 1
Dy1 0.249 0.249 0.249 1
Dy2 0.751 0.751 0.751 1
Er1 0.500 0.500 0.500 1
```

- Energy: -4.581 eV/atom
- Calculated formation energy: 0.02 eV/atom
- Polymorph energy (0 for the lowest one): 12.1 meV/atom
- Volume: 31.05 Å³ per atom
- D(E_F): 1.385 states/eV per atom
- Space group: R-3m (166)